CaLaZn2 at its PBEsol-relaxed geometry, computed with meta-GGA SCAN.

Summary:
* DOS(E_F): 0.669 states/eV per atom
* formation energy: -0.367 eV per atom
* M_tot: 0.00 μB per atom
* theoretical density: 5.283 g cm⁻³
* offset from the most stable computed form: 0 kJ/mol of formula units
* electronic total energy: -20.317 eV per atom

abc: 7.3029 7.3029 7.3029
angles: 90.00 90.00 90.00
Space group Fm-3m (No. 225)
Unique sites:
Ca 0.0000 0.0000 0.0000 x4
La 0.0000 0.0000 0.5000 x4
Zn 0.2500 0.2500 0.2500 x8